Density functional theory data (GGA-PBE) for crystalline Ce6RhC2Cl3 at its relaxed geometry.

Cell lengths 9.1981, 9.1981, 8.4853 Å; angles 109.06, 109.06, 23.53 degrees
With the nearest neighbours (Å) after each atom.
Fractional coordinates of all 12 atoms:
Ce1 0.0241 0.0241 0.2529  1 C 2.50, 2 Rh 2.77
Ce2 0.3199 0.3199 0.4422  3 C 2.53-2.59
Ce3 0.3335 0.3335 0.8633  2 C 2.54, 1 Rh 2.83
Ce4 0.6665 0.6665 0.1367  2 C 2.54, 1 Rh 2.83
Ce5 0.6801 0.6801 0.5578  3 C 2.53-2.59
Ce6 0.9759 0.9759 0.7471  1 C 2.50, 2 Rh 2.77
Rh1 0.5000 0.5000 0.0000  6 Ce 2.77-2.83
C1 0.1710 0.1710 0.3408  6 Ce 2.50-2.59
C2 0.8290 0.8290 0.6592  6 Ce 2.50-2.59
Cl1 0.1640 0.1640 0.8336  6 Ce 2.98-3.22
Cl2 0.5000 0.5000 0.5000  6 Ce 2.95-3.11
Cl3 0.8360 0.8360 0.1664  6 Ce 2.98-3.22

Summary:
Formation energy from raw total energies   -0.9773 eV per atom
Crystal system   monoclinic
SG   C2/m, No. 12